1.
Density functional theory data (SCAN) for a crystal of NdPS relaxed with PBEsol.

```
12
Lattice="-3.2098 -0.1796 1.8477 0.4632 -7.1213 0.1123 4.6440 0.4300 8.1093" Properties=species:S:1:pos:R:3 pbc="T T T"
S 1.7009 -2.6230 8.2807
S 0.8445 -0.6059 3.2684
S 1.0529 -6.2651 6.8009
S 0.1965 -4.2480 1.7886
P 3.7054 -0.2407 8.2739
P -0.0692 -2.8872 5.1801
P -1.8080 -6.6303 1.7954
P 1.9666 -3.9838 4.8893
Nd 2.3462 -1.2025 5.8192
Nd -0.4488 -5.6685 4.2501
Nd 3.4339 -4.6839 7.3702
Nd -1.5365 -2.1871 2.6991
```

Calculated values
Raw formation energy: -1.7063 eV per atom
VASP energy: -22.909 eV/atom
Mass density: 5.56 g cm⁻³

2.
Density functional theory data (SCAN) for a crystal of NdTlP2S7 relaxed with PBEsol.

```
44
Lattice="8.9339 0.0116 0.0000 -0.0698 9.5495 0.0000 0.0000 0.0000 12.1800" Properties=species:S:1:pos:R:3 pbc="T T T"
S 3.7776 2.4268 5.3859
S 5.1116 0.8370 8.1063
S 3.7524 8.7241 4.0737
S 0.6195 7.1285 11.4759
S 5.0678 3.2813 11.8902
S 1.8959 3.5724 11.5107
S 6.3629 3.5782 6.7593
S 1.2742 1.4456 3.6874
S 8.2631 6.2856 5.8002
S 7.2484 9.3867 5.3544
S 7.9018 3.6012 9.6613
S 3.1229 8.1097 9.7774
S 2.7814 9.3809 0.7356
S 6.9681 5.9888 0.6693
S 5.7411 1.4514 2.4026
S 6.0826 0.1802 11.4444
S 0.6009 3.2755 6.3798
S 1.6157 0.1744 6.8256
S 3.4349 3.5954 8.6087
S 5.4291 5.9657 3.5713
S 8.2193 8.7299 2.0163
S 7.5898 8.1155 8.4926
S 0.6447 0.8312 10.1637
S 3.7962 6.2798 0.2898
S 2.5012 5.9830 5.4207
S 0.9622 5.9599 2.5187
S 5.0864 7.1343 6.7941
S 8.2446 2.4326 0.7041
Nd 0.8909 8.1849 4.3502
Nd 7.9731 1.3762 7.8298
Nd 5.3578 8.1907 1.7398
Nd 3.5062 1.3704 10.4402
P 4.1995 6.9060 4.8733
P 8.6664 6.9117 1.2167
P 7.0998 7.7552 6.5581
P 0.1976 2.6494 10.9633
P 1.7642 1.8060 5.6219
P 2.6329 7.7494 11.7119
P 6.2311 1.8118 0.4681
P 4.6645 2.6552 7.3067
Tl 7.7938 3.7900 3.7980
Tl 1.0702 5.7711 8.3820
Tl 5.5372 5.7769 9.8880
Tl 3.3268 3.7842 2.2920
```

Calculated values
Raw formation energy: -0.8958 eV per atom
VASP energy: -19.453 eV/atom
Mass density: 4.06 g cm⁻³

3.
Density functional theory data (SCAN) for a crystal of NdSi2P6 relaxed with PBEsol.

```
72
Lattice="-5.9241 8.1149 -0.3825 -2.7484 -2.4533 -9.4828 -7.5768 -11.5162 5.1754" Properties=species:S:1:pos:R:3 pbc="T T T"
P -6.7329 0.9903 -6.8615
P -11.6316 -4.9717 -2.8043
P -11.9913 -4.2731 3.2313
P -4.2531 -0.5575 -0.6278
P -9.8066 -9.0981 0.7958
P -7.1967 0.8828 -1.9567
P -7.8745 -9.9124 3.4971
P -6.9982 -0.8292 1.8623
P -4.9502 -3.5285 1.8082
P -10.1913 -1.0619 3.1668
P -10.2896 2.0959 -6.4845
P -8.1920 -6.0641 -1.7767
P -13.8259 -3.8497 0.3132
P -8.0685 -3.9699 -2.4720
P -6.8155 1.3180 1.3715
P -6.7854 -2.7041 -6.2582
P -4.7148 -3.5938 -3.2224
P -8.1584 -9.7294 -2.5800
P -9.8360 -3.4827 0.2844
P -8.9354 1.8244 1.7373
P -10.9601 -10.6557 -2.9295
P -10.1966 -1.3419 -2.6940
P -5.2553 2.1251 -5.6696
P -3.4112 -2.8867 -8.4114
P -8.3441 -4.0248 3.4192
P -4.8067 -6.1455 -0.6300
P -9.7033 -7.0118 1.5267
P -7.2860 -2.7495 -0.7901
P -10.2170 -7.2862 3.6604
P -6.1313 -6.6235 -2.3469
P -13.3534 -7.3773 -3.0840
P -5.6303 4.4965 -2.9373
P -9.5994 -7.2256 -4.6196
P -3.0160 -2.3882 -3.9558
P -6.3318 -8.2828 0.5106
P -6.5318 -6.5072 3.5362
P -6.5514 -0.6214 -3.4379
P -14.6028 -4.6889 -5.4594
P -5.4048 -0.0831 -8.2694
P -8.3636 1.8611 -3.5549
P -3.5635 -0.9616 -5.5251
P -11.8880 -0.1068 -5.5970
P -7.7263 4.2002 -0.8520
P -3.2370 1.2181 -2.7828
P -7.6803 4.6777 -5.7909
P -7.2846 2.4919 -8.3907
P -11.6864 -6.5232 0.6744
P -9.4088 -3.5029 -5.4370
Nd -8.9712 -0.5720 -5.3391
Nd -14.6419 -4.5770 -2.4785
Nd -9.2833 -0.5488 -0.0110
Nd -1.4667 -1.1521 -1.7260
Nd -7.2286 -5.2384 0.8202
Nd -10.6369 -7.8565 -1.9355
Nd -5.0410 2.5119 -0.7828
Nd -7.0239 -5.3576 -4.8788
Si -4.8482 -1.3457 1.4089
Si -11.7519 -4.2889 0.9761
Si -5.5361 -1.9302 -1.8837
Si -8.1368 -7.8501 4.3508
Si -8.9425 3.5991 -7.3360
Si -7.5156 -9.7391 -4.7467
Si -2.8250 -4.1170 1.5395
Si -10.2004 -3.4372 -1.9558
Si -4.9059 -1.9303 -7.0753
Si -4.7461 0.4493 -4.2362
Si -11.3473 -4.4905 -4.9941
Si -6.7577 3.2048 -4.3661
Si -9.3678 3.3184 -2.1311
Si -10.1484 -5.0946 4.2209
Si -12.2235 -0.6658 -2.0865
Si -7.7153 -9.8184 1.2367
```

Calculated values
Raw formation energy: -0.5147 eV per atom
VASP energy: -14.515 eV/atom
Mass density: 3.62 g cm⁻³

4.
Density functional theory data (SCAN) for a crystal of Nd5Pb3 relaxed with PBEsol.

```
16
Lattice="-5.1645 -3.4559 2.6534 4.7290 -7.8916 -1.0741 0.7951 4.8431 7.8553" Properties=species:S:1:pos:R:3 pbc="T T T"
Nd -0.1565 -2.7574 0.4057
Nd -1.1004 0.2980 2.5481
Nd 2.9075 -3.1811 5.8176
Nd -3.2691 1.0892 7.9607
Nd -0.2790 -8.5901 1.1737
Nd 3.4177 -3.6467 1.9024
Nd -2.5480 -3.3234 3.6171
Nd -0.4759 -1.1298 6.2056
Nd 2.1064 0.5982 4.8789
Nd 0.8354 -5.3747 3.2291
Pb -2.0096 -5.7021 1.5668
Pb 0.8860 -2.0654 3.3359
Pb -0.8094 2.0704 5.4228
Pb -0.5264 -4.4390 6.0988
Pb 1.5741 -5.6454 0.0126
Pb -3.5600 -0.6832 5.0859
```

Calculated values
VASP energy: -56.455 eV/atom
Mass density: 8.88 g cm⁻³
Formation enthalpy at 0 K: -798 meV per atom

5.
Density functional theory data (SCAN) for a crystal of NdPb3 relaxed with PBEsol.

```
4
Lattice="-2.2011 -1.9225 3.8514 -2.5295 -2.9223 -2.9044 3.4829 -3.3373 0.3246" Properties=species:S:1:pos:R:3 pbc="T T T"
Pb 0.4767 -3.1298 -1.2899
Pb -2.3653 -2.4224 0.4735
Pb 0.6409 -2.6299 2.0880
Nd 0.0000 0.0000 0.0000
```

Calculated values
VASP energy: -68.263 eV/atom
Mass density: 11.25 g cm⁻³
Formation enthalpy at 0 K: -531 meV per atom

6.
Density functional theory data (SCAN) for a crystal of Nd2PbS4 relaxed with PBEsol.

```
14
Lattice="7.4073 0.0014 0.0000 -2.4822 6.9790 0.0000 -2.4626 -3.4902 6.0516" Properties=species:S:1:pos:R:3 pbc="T T T"
Pb -1.2411 3.4895 3.0258
Pb 0.0000 0.0000 0.0000
Nd 2.4999 4.7708 2.3181
Nd 1.1939 0.4645 3.7336
Nd 3.7410 1.2813 0.7077
Nd -2.5097 0.4639 5.3439
S -0.2721 2.2124 5.4875
S -1.5281 0.4847 2.4617
S 4.6381 3.9756 0.5641
S -0.4908 -1.6741 4.5538
S 3.2129 -1.6734 4.5236
S 1.0499 2.4665 1.4978
S -0.1912 5.9561 1.5280
S 3.4315 2.2131 3.5899
```

Calculated values
Raw formation energy: -1.8243 eV per atom
VASP energy: -30.604 eV/atom
Mass density: 6.62 g cm⁻³

7.
Density functional theory data (SCAN) for a crystal of Nd2Si2PbS8 relaxed with PBEsol.

```
26
Lattice="8.7993 -0.0509 0.0014 4.3130 7.6700 0.0014 4.1628 2.4189 8.8362" Properties=species:S:1:pos:R:3 pbc="T T T"
Pb 12.3246 6.3168 2.1384
Pb 13.6722 8.7891 6.5565
S 11.9302 5.3958 8.3271
S 8.5139 6.4837 3.9090
S 15.8239 9.7009 8.1374
S 8.6869 4.0697 8.4012
S 14.1822 7.7347 3.7193
S 11.6901 5.4472 5.0376
S 1.3984 0.6739 0.4508
S 8.4397 6.2496 0.6195
S 10.8023 3.5840 2.1227
S 3.3593 2.0907 4.8690
S 5.7558 4.3225 3.9831
S 6.5208 1.3612 2.3057
S 5.3413 4.8326 0.5990
S 10.5442 8.8198 6.5408
S 6.4929 6.2007 6.7239
S 8.9249 3.4570 5.0171
Nd 9.4458 6.0907 6.6664
Nd 4.7494 3.7576 6.6331
Nd 7.8874 3.9811 2.2483
Nd 3.5349 1.0562 2.2150
Si 10.8954 3.6294 4.2525
Si 10.6297 8.8782 8.6706
Si 6.5296 1.3651 0.1732
Si 6.5007 6.2064 4.5913
```

Calculated values
Raw formation energy: -1.4095 eV per atom
VASP energy: -21.410 eV/atom
Mass density: 4.49 g cm⁻³

8.
Density functional theory data (SCAN) for a crystal of NdPd3S4 relaxed with PBEsol.

```
16
Lattice="-5.6177 -3.1529 -1.6362 2.5624 -5.7171 2.2190 -2.4600 1.2447 6.0477" Properties=species:S:1:pos:R:3 pbc="T T T"
S -5.4176 -2.8604 3.8634
S -2.9064 -6.3414 1.9491
S -4.1876 -3.4828 0.8396
S -4.1364 -5.7190 4.9729
S -0.0976 -4.7649 2.7671
S -1.3276 -4.1425 5.7910
S -1.3788 -1.9063 1.6576
S -2.6088 -1.2840 4.6815
Pd 0.6662 -2.5474 2.6214
Pd -0.8870 -5.8643 0.8462
Pd -0.5638 -1.9250 5.6453
Pd -5.4433 -1.7423 1.7967
Pd -2.1682 -3.0057 -0.2633
Pd -2.6344 -0.1659 2.6148
Nd 0.0000 0.0000 0.0000
Nd -2.7576 -3.8127 3.3153
```

Calculated values
Raw formation energy: -1.0640 eV per atom
VASP energy: -23.616 eV/atom
Mass density: 6.69 g cm⁻³

9.
Density functional theory data (SCAN) for a crystal of Nd3Sb5Pd6 relaxed with PBEsol.

```
28
Lattice="4.4148 0.0000 0.0000 0.0000 10.0078 0.0000 0.0000 0.0000 13.3047" Properties=species:S:1:pos:R:3 pbc="T T T"
Sb 2.2074 4.7776 4.9477
Sb 2.2074 1.7998 6.6523
Sb 2.2074 4.7776 8.3569
Sb 0.0000 5.2303 1.7046
Sb 0.0000 5.2303 11.6001
Sb 0.0000 8.6636 4.4674
Sb 0.0000 8.6636 8.8373
Sb 2.2074 1.3443 11.1197
Sb 0.0000 8.2081 0.0000
Sb 2.2074 1.3443 2.1850
Pd 2.2074 0.1139 8.7238
Pd 0.0000 0.2003 6.6523
Pd 2.2074 5.2983 0.0000
Pd 0.0000 9.8940 11.2332
Pd 0.0000 9.8940 2.0715
Pd 0.0000 6.0722 9.0431
Pd 2.2074 3.9356 2.3907
Pd 2.2074 9.8076 0.0000
Pd 0.0000 4.7095 6.6523
Pd 2.2074 3.9356 10.9139
Pd 2.2074 0.1139 4.5809
Pd 0.0000 6.0722 4.2616
Nd 0.0000 2.4692 9.0089
Nd 0.0000 2.4374 0.0000
Nd 2.2074 7.5704 6.6523
Nd 0.0000 2.4692 4.2958
Nd 2.2074 7.5387 2.3565
Nd 2.2074 7.5387 10.9481
```

Calculated values
Raw formation energy: -0.9911 eV per atom
VASP energy: -37.684 eV/atom
Mass density: 9.49 g cm⁻³

10.
Density functional theory data (SCAN) for a crystal of NdSiPd2 relaxed with PBEsol.

```
16
Lattice="5.6109 0.0000 0.0000 0.0000 6.8730 0.0000 0.0000 0.0000 7.4573" Properties=species:S:1:pos:R:3 pbc="T T T"
Si 0.8265 5.1548 2.8084
Si 3.6319 1.7183 0.9202
Si 4.7844 1.7183 4.6489
Si 1.9790 5.1548 6.5371
Nd 4.8076 5.1548 0.2288
Nd 2.0021 1.7183 3.4999
Nd 3.6088 5.1548 3.9574
Nd 0.8033 1.7183 7.2286
Pd 0.5205 6.5101 5.0276
Pd 3.3260 3.0736 6.1584
Pd 5.0903 0.3629 2.4297
Pd 2.2849 3.7994 1.2989
Pd 2.2849 6.5101 1.2989
Pd 3.3260 0.3629 6.1584
Pd 5.0903 3.0736 2.4297
Pd 0.5205 3.7994 5.0276
```

Calculated values
Raw formation energy: -0.9917 eV per atom
VASP energy: -30.778 eV/atom
Mass density: 8.90 g cm⁻³

11.
Density functional theory data (SCAN) for a crystal of NdSi2Pd2 relaxed with PBEsol.

```
5
Lattice="-0.9930 -3.9539 0.8991 3.0997 -0.1434 2.7927 -4.1543 3.6285 1.6770" Properties=species:S:1:pos:R:3 pbc="T T T"
Si 0.3134 -1.6717 2.6866
Si -2.3609 1.2028 2.6822
Pd -0.0006 0.7182 3.1578
Pd -2.0469 -1.1871 2.2110
Nd 0.0000 0.0000 0.0000
```

Calculated values
Raw formation energy: -1.0102 eV per atom
VASP energy: -26.843 eV/atom
Mass density: 7.95 g cm⁻³

12.
Density functional theory data (SCAN) for a crystal of NdSnPd relaxed with PBEsol.

```
12
Lattice="4.6477 0.0000 0.0000 0.0000 7.3956 0.0000 0.0000 0.0000 7.9061" Properties=species:S:1:pos:R:3 pbc="T T T"
Nd 3.4858 3.7854 5.5325
Nd 1.1619 3.6102 2.3736
Nd 1.1619 7.3080 1.5795
Nd 3.4858 0.0876 6.3266
Pd 1.1619 5.1819 7.2316
Pd 3.4858 2.2137 0.6745
Pd 3.4858 5.9115 3.2786
Pd 1.1619 1.4841 4.6276
Sn 1.1619 6.0197 4.6420
Sn 3.4858 5.0737 0.6889
Sn 3.4858 1.3759 3.2641
Sn 1.1619 2.3219 7.2172
```

Calculated values
VASP energy: -38.456 eV/atom
Mass density: 9.03 g cm⁻³
Formation enthalpy at 0 K: -1030 meV per atom

13.
Density functional theory data (SCAN) for a crystal of NdSnPd relaxed with PBEsol.

```
9
Lattice="4.0843 0.0000 0.0000 0.0000 7.5268 0.0000 0.0000 -3.7634 6.5184" Properties=species:S:1:pos:R:3 pbc="T T T"
Sn 2.0422 1.8955 0.0000
Sn 2.0422 2.8156 4.8768
Sn 2.0422 -0.9478 1.6416
Pd 0.0000 0.0000 0.0000
Pd 2.0422 3.7634 2.1728
Pd 2.0422 0.0000 4.3456
Nd 0.0000 4.4252 0.0000
Nd 0.0000 -2.2126 3.8323
Nd 0.0000 1.5508 2.6861
```

Calculated values
VASP energy: -38.455 eV/atom
Mass density: 9.18 g cm⁻³
Formation enthalpy at 0 K: -1030 meV per atom

14.
Density functional theory data (SCAN) for a crystal of NdTlPd relaxed with PBEsol.

```
9
Lattice="-2.2121 0.3966 3.1948 6.1974 -1.4371 4.4695 -1.6877 7.3003 -2.0749" Properties=species:S:1:pos:R:3 pbc="T T T"
Nd -2.1087 4.5354 0.3647
Nd 0.7244 2.5783 2.5694
Nd 2.5758 -0.6554 4.2527
Tl -0.4411 1.9081 -0.5423
Tl 1.6199 -0.3756 1.1682
Tl 3.3309 4.3307 1.7687
Pd 0.9406 4.3879 0.1065
Pd -1.1060 0.1983 1.5974
Pd 3.5690 1.4754 2.2880
```

Calculated values
VASP energy: -50.349 eV/atom
Mass density: 11.09 g cm⁻³
Formation enthalpy at 0 K: -778 meV per atom

15.
Density functional theory data (SCAN) for a crystal of Nd6Zn4Pd13 relaxed with PBEsol.

```
23
Lattice="8.2350 0.0000 0.0000 -2.7450 7.7640 0.0000 -2.7450 -3.8820 6.7238" Properties=species:S:1:pos:R:3 pbc="T T T"
Pd 3.6406 1.2872 2.2294
Pd 2.7450 3.8820 2.2650
Pd 0.0000 0.0000 4.4588
Pd 0.0000 0.0000 0.0000
Pd -2.7450 -0.0205 4.4944
Pd -2.7450 3.9025 2.2294
Pd 4.5943 -1.2872 2.2294
Pd -0.8956 2.5948 4.4944
Pd 4.5943 2.5743 0.0000
Pd 0.8956 -2.5948 4.4944
Pd 0.0000 3.8615 2.2294
Pd 0.8956 5.1897 0.0000
Pd 2.7450 0.0205 4.4944
Nd 3.8341 5.4223 0.0000
Nd -1.6558 1.1708 2.0280
Nd 3.8341 -2.7111 4.6958
Nd 1.6558 -1.1708 2.0280
Nd -3.8341 2.7111 4.6958
Nd 1.6558 2.3417 0.0000
Zn -1.3725 3.8820 0.0000
Zn 4.1175 0.0000 0.0000
Zn -1.3725 -1.9410 3.3619
Zn 1.3725 1.9410 3.3619
```

Calculated values
VASP energy: -33.096 eV/atom
Mass density: 9.70 g cm⁻³
Formation enthalpy at 0 K: -852 meV per atom

16.
Density functional theory data (SCAN) for a crystal of PmNd relaxed with PBEsol.

```
2
Lattice="-2.2372 0.4200 2.7824 -0.1935 -2.9598 -2.0311 3.8529 -2.6526 3.4984" Properties=species:S:1:pos:R:3 pbc="T T T"
Pm -0.8747 -1.8332 -0.4266
Nd 1.9264 -1.3263 1.7492
```

Calculated values
VASP energy: -43.755 eV/atom
Mass density: 7.35 g cm⁻³
Formation enthalpy at 0 K: 29 meV per atom

The evaluated magnetization for the records listed, in turn: 0.00 0.00 0.00 0.00 0.00 0.00 0.00 0.00 0.00 0.00 0.00 0.00 0.00 0.00 0.00 0.03 μB per atom.